Compound: GdDy2Cu
Source: Alexandria via LeMat-Bulk
Functional: PBE-GGA
Structure: relaxed

```
GdDy2Cu
1.0
-0.509 3.528 0.360
-3.131 1.243 1.220
2.237 1.138 9.845
Gd Dy Cu
1 2 1
Cartesian
-0.702 2.955 5.712
-0.890 4.411 9.006
-0.513 1.499 2.419
0.000 0.000 0.000
```

- ΔE to the lowest computed polymorph (meV/atom) = 131


Compound: Gd2DyCu
Source: Alexandria via LeMat-Bulk
Functional: PBE-GGA
Structure: relaxed

```
Gd2DyCu
1.0
3.534 0.000 0.000
0.000 3.534 0.000
0.000 0.000 8.633
Cu Gd Dy
1 2 1
Cartesian
1.767 1.767 0.000
0.000 0.000 1.731
0.000 0.000 6.902
1.767 1.767 4.317
```

- ΔE to the lowest computed polymorph (meV/atom) = 0


Compound: GdDy3Cu
Source: Alexandria via LeMat-Bulk
Functional: PBE-GGA
Structure: relaxed

```
GdDy3Cu
1.0
-1.044 -5.224 -0.681
4.487 -0.518 -2.906
2.761 -1.134 4.465
Dy Gd Cu
3 1 1
Cartesian
1.381 -0.567 2.232
-0.522 -2.612 -0.340
2.243 -0.259 -1.453
3.102 -3.438 0.439
0.000 0.000 0.000
```

- VASP energy (eV/atom) = -6.293


Compound: GdDyCu4
Source: Alexandria via LeMat-Bulk
Functional: PBE-GGA
Structure: relaxed

```
GdDyCu4
1.0
5.276 0.000 0.000
2.638 4.569 0.000
2.638 1.523 4.308
Dy Cu Gd
1 4 1
Cartesian
2.638 1.523 1.077
5.276 1.526 2.691
6.593 3.806 2.691
5.276 3.046 0.541
3.959 3.806 2.691
0.000 0.000 0.000
```

- VASP energy (eV/atom) = -6.001